! PBE Mg3ZnCd2Ag3, optimized geometry; values from VASP
! **Formation energy from the elements**: -91 kJ/mol of formula units
! **Size of the total moment**: 0.000 μB/f.u.
! **VASP energy**: -17.38 eV for the cell shown
! **Space group**: No. 189
&SYSTEM
  ibrav = 0, nat = 9, ntyp = 4
/
ATOMIC_SPECIES
Mg 24.30 Mg.upf
Zn 65.41 Zn.upf
Cd 112.41 Cd.upf
Ag 107.87 Ag.upf
CELL_PARAMETERS angstrom
8.0291 0.0000 0.0000
-4.0145 6.9534 0.0000
0.0000 0.0000 3.0725
ATOMIC_POSITIONS angstrom
Mg -2.8571 4.9486 0.0000
Mg 1.1574 2.0047 0.0000
Mg 5.7142 0.0000 0.0000
Zn 0.0000 0.0000 1.5363
Cd 0.0000 4.6356 0.0000
Cd 4.0145 2.3178 0.0000
Ag -1.4165 2.4534 1.5363
Ag 2.8329 0.0000 1.5363
Ag 2.5981 4.5000 1.5363